# MnCu2Pb

An optimized crystal structure of MnCu2Pb (PBE-GGA, Alexandria).

Values from the calculation:
ΔH_f (0 K) = 1.81 eV per formula unit

Geometry as CIF:
```
data_MnCu2Pb
_symmetry_space_group_name_H-M 'R 3 m'
_symmetry_Int_Tables_number 160
_symmetry_space_group_name_Hall 'R 3 -2"'
_cell_length_a 3.1476
_cell_length_b 3.1476
_cell_length_c 25.0828
_cell_angle_alpha 90.00
_cell_angle_beta 90.00
_cell_angle_gamma 120.00
loop_
_atom_site_label
_atom_site_fract_x
_atom_site_fract_y
_atom_site_fract_z
Mn1 0.0000 0.0000 0.0000
Cu1 0.0000 0.0000 0.4722
Cu2 0.0000 0.0000 0.7370
Pb1 0.0000 0.0000 0.2314
```